(1)
Here is a geometry-optimized BeZnHg2 structure from the Alexandria database. Energies are from PBE-GGA.

abc: 4.273 4.273 4.924
angles: 90.00 90.00 120.00
Fractional positions:
Be  0.000  0.000  0.000
Zn  0.667  0.333  0.845
Hg  0.000  0.000  0.511
Hg  0.333  0.667  0.131

Values from the calculation:
For the uncorrected energy, the calculation gives -0.043 hartree per atom. The symmetry is P3m1. The energy above the most stable polymorph in this dataset is 0.000 kcal/mol of atoms. The formation energy from the elements is 0.92 eV/f.u.



(2)
Here is a geometry-optimized Be2ZnHg structure from the Alexandria database. Energies are from PBE-GGA.

abc: 3.116 3.116 5.536
angles: 90.00 90.00 90.00
Fractional positions:
Be  0.000  0.000  0.210
Be  0.000  0.000  0.790
Zn  0.500  0.500  0.000
Hg  0.500  0.500  0.500

Values from the calculation:
For the uncorrected energy, the calculation gives -0.069 hartree per atom. The symmetry is P4/mmm. The energy above the most stable polymorph in this dataset is 0.151 kcal/mol of atoms. The formation energy from the elements is 1.56 eV/f.u.



(3)
Here is a geometry-optimized BeZnHg structure from the Alexandria database. Energies are from PBE-GGA.

abc: 4.619 4.619 4.619
angles: 136.44 134.71 64.65
Fractional positions:
Be  0.000  0.000  0.000
Zn  0.334  0.334  0.000
Hg  0.668  0.668  0.000

Values from the calculation:
For the uncorrected energy, the calculation gives -0.051 hartree per atom. The symmetry is Imm2. The energy above the most stable polymorph in this dataset is 2.280 kcal/mol of atoms. The formation energy from the elements is 1.12 eV/f.u.



(4)
Here is a geometry-optimized BeZnHg2 structure from the Alexandria database. Energies are from PBE-GGA.

abc: 3.332 3.984 5.774
angles: 90.00 94.42 90.00
Fractional positions:
Be  0.000  0.000  0.000
Zn  0.500  0.000  0.500
Hg  0.176  0.500  0.762
Hg  0.824  0.500  0.238

Values from the calculation:
For the uncorrected energy, the calculation gives -0.036 hartree per atom. The symmetry is P2/m. The energy above the most stable polymorph in this dataset is 4.093 kcal/mol of atoms. The formation energy from the elements is 1.63 eV/f.u.



(5)
Here is a geometry-optimized BeZnHg2 structure from the Alexandria database. Energies are from PBE-GGA.

abc: 8.163 8.163 8.163
angles: 23.17 23.17 23.17
Fractional positions:
Be  0.000  0.000  0.000
Zn  0.500  0.500  0.500
Hg  0.258  0.258  0.258
Hg  0.742  0.742  0.742

Values from the calculation:
For the uncorrected energy, the calculation gives -0.039 hartree per atom. The symmetry is R-3m. The energy above the most stable polymorph in this dataset is 2.555 kcal/mol of atoms. The formation energy from the elements is 1.37 eV/f.u.



(6)
Here is a geometry-optimized BeZnHg2 structure from the Alexandria database. Energies are from PBE-GGA.

abc: 5.237 5.237 5.237
angles: 134.32 134.32 66.58
Fractional positions:
Be  0.000  0.000  0.000
Zn  0.750  0.250  0.500
Hg  0.250  0.750  0.500
Hg  0.500  0.500  0.000

Values from the calculation:
For the uncorrected energy, the calculation gives -0.035 hartree per atom. The symmetry is I-4m2. The energy above the most stable polymorph in this dataset is 5.184 kcal/mol of atoms. The formation energy from the elements is 1.82 eV/f.u.



(7)
Here is a geometry-optimized BeZnHg2 structure from the Alexandria database. Energies are from PBE-GGA.

abc: 4.748 4.748 4.748
angles: 60.00 60.00 60.00
Fractional positions:
Be  0.000  0.000  0.000
Zn  0.250  0.250  0.250
Hg  0.500  0.500  0.500
Hg  0.750  0.750  0.750

Values from the calculation:
For the uncorrected energy, the calculation gives -0.031 hartree per atom. The symmetry is F-43m. The energy above the most stable polymorph in this dataset is 7.283 kcal/mol of atoms. The formation energy from the elements is 2.19 eV/f.u.



(8)
Here is a geometry-optimized Be2ZnHg2 structure from the Alexandria database. Energies are from PBE-GGA.

abc: 6.457 6.457 3.792
angles: 90.00 90.00 90.00
Fractional positions:
Be  0.128  0.372  0.000
Be  0.372  0.872  0.000
Be  0.628  0.128  0.000
Be  0.872  0.628  0.000
Zn  0.000  0.000  0.000
Zn  0.500  0.500  0.000
Hg  0.174  0.674  0.500
Hg  0.326  0.174  0.500
Hg  0.674  0.826  0.500
Hg  0.826  0.326  0.500

Values from the calculation:
For the uncorrected energy, the calculation gives -0.054 hartree per atom. The symmetry is P4/mbm. The formation energy from the elements is 2.03 eV/f.u.



(9)
Here is a geometry-optimized BeZnHg3 structure from the Alexandria database. Energies are from PBE-GGA.

abc: 4.879 4.879 4.879
angles: 90.00 90.00 90.00
Fractional positions:
Be  0.000  0.000  0.000
Zn  0.500  0.500  0.500
Hg  0.000  0.000  0.500
Hg  0.000  0.500  0.000
Hg  0.500  0.000  0.000

Values from the calculation:
For the uncorrected energy, the calculation gives -0.033 hartree per atom. The symmetry is Pm-3m. The energy above the most stable polymorph in this dataset is 0.000 kcal/mol of atoms. The formation energy from the elements is 1.44 eV/f.u.



(10)
Here is a geometry-optimized Be4ZnHg structure from the Alexandria database. Energies are from PBE-GGA.

abc: 4.590 4.590 4.590
angles: 60.00 60.00 60.00
Fractional positions:
Be  0.124  0.124  0.124
Be  0.124  0.124  0.629
Be  0.124  0.629  0.124
Be  0.629  0.124  0.124
Zn  0.750  0.750  0.750
Hg  0.500  0.500  0.500

Values from the calculation:
For the uncorrected energy, the calculation gives -0.091 hartree per atom. The symmetry is F-43m. The formation energy from the elements is 1.58 eV/f.u.



(11)
Here is a geometry-optimized BeZnHg2 structure from the Alexandria database. Energies are from PBE-GGA.

abc: 4.819 4.819 4.819
angles: 125.54 125.54 80.64
Fractional positions:
Be  0.000  0.000  0.000
Zn  0.500  0.500  0.000
Hg  0.250  0.750  0.500
Hg  0.750  0.250  0.500

Values from the calculation:
For the uncorrected energy, the calculation gives -0.036 hartree per atom. The symmetry is I4/mmm. The energy above the most stable polymorph in this dataset is 4.532 kcal/mol of atoms. The formation energy from the elements is 1.71 eV/f.u.



(12)
Here is a geometry-optimized BeZnHg2 structure from the Alexandria database. Energies are from PBE-GGA.

abc: 2.858 4.440 6.262
angles: 90.00 90.00 90.00
Fractional positions:
Be  0.000  0.000  0.000
Zn  0.500  0.000  0.500
Hg  0.000  0.500  0.500
Hg  0.500  0.500  0.000

Values from the calculation:
For the uncorrected energy, the calculation gives -0.037 hartree per atom. The symmetry is Pmmm. The energy above the most stable polymorph in this dataset is 4.006 kcal/mol of atoms. The formation energy from the elements is 1.62 eV/f.u.



> What is the formation energy from the elements in the third record?

1.12 eV/f.u.



> formation energy from the elements of number 5 (BeZnHg2)?

1.37 eV/f.u.